No. 1
## CaP2Rh (PBE)

Data for an optimized crystal structure of CaP2Rh.

The value obtained for the excess energy over the best structure of this formula in the dataset is 16 meV/atom. As for the energy: -5.850 eV per atom. As for the calculated formation energy: -0.8073 eV/atom. Its total magnetic moment is 0.000 μB per formula unit.

The structure belongs to space group Pmmm (No. 47); the cell edges are 3.9021, 4.2027 and 4.7867 Å and the angles 90.00°, 90.00° and 90.00°. The asymmetric unit holds Ca at (0.0000, 0.0000, 0.0000), P at (0.5000, 0.5000, 0.2263) and Rh at (0.0000, 0.5000, 0.5000).


No. 2
## EuGdMgSn (PBE)

Data for an optimized crystal structure of EuGdMgSn.

As for the energy: -7.893 eV per atom. As for the calculated formation energy: -0.4049 eV/atom. Its total magnetic moment is 0.018 μB per formula unit.

The structure belongs to space group F-43m (No. 216); the cell edges are 7.6982, 7.6982 and 7.6982 Å and the angles 90.00°, 90.00° and 90.00°. The asymmetric unit holds Eu at (0.0000, 0.0000, 0.0000), Gd at (0.0000, 0.0000, 0.5000), Mg at (0.2500, 0.2500, 0.2500) and Sn at (0.2500, 0.2500, 0.7500).


No. 3
## TbDy4Cd2 (PBE)

Data for an optimized crystal structure of TbDy4Cd2.

As for the energy: -3.335 eV per atom. As for the calculated formation energy: 0.2182 eV/atom. Its total magnetic moment is 0.002 μB per formula unit.

The structure belongs to space group R-3m (No. 166, hexagonal axes); the cell edges are 5.1030, 5.1030 and 30.5573 Å and the angles 90.00°, 90.00° and 120.00°. The asymmetric unit holds Tb at (0.0000, 0.0000, 0.0000), Dy at (0.0000, 0.0000, 0.2030), Dy at (0.0000, 0.0000, 0.3931) and Cd at (0.0000, 0.0000, 0.1003).


Look up the calculated formation energy of the third one.
0.2182 eV/atom